Entry 1:
First-principles (PBE) data for an optimized crystal structure of PPdW, as listed in the Alexandria database.

It has space group R-3m (No. 166, hexagonal axes), with a = 3.9995 Å, b = 3.9995 Å, c = 20.6257 Å, α = 90.00°, β = 90.00° and γ = 120.00°. The distinct sites, in fractional coordinates, are P at (0.0000, 0.0000, 0.2450), Pd at (0.0000, 0.0000, 0.3708) and W at (0.0000, 0.0000, 0.1252).

The formation energy is -0.1633 eV/atom.


Entry 2:
First-principles (PBE) data for an optimized crystal structure of P3PdW, as listed in the Alexandria database.

It has space group Pm-3m (No. 221), with a = 4.668 Å, b = 4.668 Å, c = 4.668 Å, α = 90.00°, β = 90.00° and γ = 90.00°. The distinct sites, in fractional coordinates, are P at (0.000, 0.000, 0.500), Pd at (0.500, 0.500, 0.500) and W at (0.000, 0.000, 0.000).

For the energy above the lowest structure with this stoichiometry, the calculation gives 0 meV/atom. The formation energy is 0.6516 eV/atom.


Entry 3:
First-principles (PBE) data for an optimized crystal structure of PPd3W, as listed in the Alexandria database.

It has space group Pm-3m (No. 221), with a = 4.804 Å, b = 4.804 Å, c = 4.804 Å, α = 90.00°, β = 90.00° and γ = 90.00°. The distinct sites, in fractional coordinates, are P at (0.000, 0.000, 0.000), Pd at (0.000, 0.500, 0.500) and W at (0.500, 0.500, 0.500).

For the energy above the lowest structure with this stoichiometry, the calculation gives 843 meV/atom. The formation energy is 1.4696 eV/atom.


Entry 4:
First-principles (PBE) data for an optimized crystal structure of Y2P2Pd, as listed in the Alexandria database.

It has space group P4/mbm (No. 127), with a = 7.188 Å, b = 7.188 Å, c = 3.843 Å, α = 90.00°, β = 90.00° and γ = 90.00°. The distinct sites, in fractional coordinates, are Y at (0.157, 0.343, 0.000), P at (0.155, 0.655, 0.500) and Pd at (0.000, 0.000, 0.500).

The formation energy is -1.1333 eV/atom.


Entry 5:
First-principles (PBE) data for an optimized crystal structure of YPPd6, as listed in the Alexandria database.

It has space group R-3m (No. 166, hexagonal axes), with a = 5.6181 Å, b = 5.6181 Å, c = 16.7868 Å, α = 90.00°, β = 90.00° and γ = 120.00°. The distinct sites, in fractional coordinates, are Y at (0.0000, 0.0000, 0.0000), P at (0.0000, 0.0000, 0.5000) and Pd at (0.0134, 0.5067, 0.9204).

The formation energy is -0.4558 eV/atom.


Entry 6:
First-principles (PBE) data for an optimized crystal structure of YP3Pd, as listed in the Alexandria database.

It has space group Pm-3m (No. 221), with a = 4.697 Å, b = 4.697 Å, c = 4.697 Å, α = 90.00°, β = 90.00° and γ = 90.00°. The distinct sites, in fractional coordinates, are Y at (0.000, 0.000, 0.000), P at (0.000, 0.500, 0.500) and Pd at (0.500, 0.500, 0.500).

For the energy above the lowest structure with this stoichiometry, the calculation gives 0 meV/atom. The formation energy is 0.0205 eV/atom.


Entry 7:
First-principles (PBE) data for an optimized crystal structure of YP2Pd, as listed in the Alexandria database.

It has space group I-42d (No. 122), with a = 4.426 Å, b = 4.426 Å, c = 16.472 Å, α = 90.00°, β = 90.00° and γ = 90.00°. The distinct sites, in fractional coordinates, are Y at (0.000, 0.000, 0.000), P at (0.120, 0.250, 0.625) and Pd at (0.000, 0.000, 0.500).

For the energy above the lowest structure with this stoichiometry, the calculation gives 0 meV/atom. The formation energy is -0.6479 eV/atom.


Entry 8:
First-principles (PBE) data for an optimized crystal structure of Y2PPd2, as listed in the Alexandria database.

It has space group P4/mbm (No. 127), with a = 7.727 Å, b = 7.727 Å, c = 3.731 Å, α = 90.00°, β = 90.00° and γ = 90.00°. The distinct sites, in fractional coordinates, are Y at (0.175, 0.325, 0.000), P at (0.000, 0.000, 0.000) and Pd at (0.124, 0.624, 0.500).

For the energy above the lowest structure with this stoichiometry, the calculation gives 174 meV/atom. The formation energy is -0.6555 eV/atom.


Number 1: electronic total energy -8.015 eV per atom. Number 2: electronic total energy -6.224 eV per atom. Number 3: electronic total energy -5.319 eV per atom. Number 4: electronic total energy -6.921 eV per atom. Number 5: electronic total energy -5.835 eV per atom. Number 6: electronic total energy -5.557 eV per atom. Number 7: electronic total energy -6.267 eV per atom. Number 8: electronic total energy -6.400 eV per atom.